#i
Rb2MnBr: optimized geometry, GGA-PBE.

```
data_Rb2MnBr
_chemical_formula_sum 'Rb8 Mn4 Br4'
_space_group_name_H-M_alt 'I -4 2 d'
_space_group_IT_number 122
_space_group_name_Hall 'I -4 2bw'
_cell_length_a 9.477
_cell_length_b 9.477
_cell_length_c 9.377
_cell_angle_alpha 90.00
_cell_angle_beta 90.00
_cell_angle_gamma 90.00
loop_
_atom_site_label
_atom_site_type_symbol
_atom_site_fract_x
_atom_site_fract_y
_atom_site_fract_z
Rb1 Rb 0.214 0.250 0.125
Mn1 Mn 0.000 0.000 0.500
Br1 Br 0.000 0.000 0.000
```


#ii
Rb2MnBr: optimized geometry, GGA-PBE.

```
data_Rb2MnBr
_chemical_formula_sum 'Rb8 Mn4 Br4'
_space_group_name_H-M_alt 'F m -3 m'
_space_group_IT_number 225
_space_group_name_Hall '-F 4 2 3'
_cell_length_a 8.847
_cell_length_b 8.847
_cell_length_c 8.847
_cell_angle_alpha 90.00
_cell_angle_beta 90.00
_cell_angle_gamma 90.00
loop_
_atom_site_label
_atom_site_type_symbol
_atom_site_fract_x
_atom_site_fract_y
_atom_site_fract_z
Rb1 Rb 0.250 0.250 0.250
Mn1 Mn 0.000 0.000 0.000
Br1 Br 0.000 0.000 0.500
```


Which is the most stable structure? #i is the most stable.


#i
Rb2MnTlBr6: optimized geometry, GGA-PBE.

```
data_Rb2MnTlBr6
_chemical_formula_sum 'Rb8 Mn4 Tl4 Br24'
_space_group_name_H-M_alt 'F m -3 m'
_space_group_IT_number 225
_space_group_name_Hall '-F 4 2 3'
_cell_length_a 11.290
_cell_length_b 11.290
_cell_length_c 11.290
_cell_angle_alpha 90.00
_cell_angle_beta 90.00
_cell_angle_gamma 90.00
loop_
_atom_site_label
_atom_site_type_symbol
_atom_site_fract_x
_atom_site_fract_y
_atom_site_fract_z
Rb1 Rb 0.250 0.250 0.250
Mn1 Mn 0.000 0.000 0.000
Tl1 Tl 0.000 0.000 0.500
Br1 Br 0.000 0.000 0.228
```


#ii
Rb2MnTlBr6: optimized geometry, GGA-PBE.

```
data_Rb2MnTlBr6
_chemical_formula_sum 'Rb4 Mn2 Tl2 Br12'
_space_group_name_H-M_alt 'P 1 21/c 1'
_space_group_IT_number 14
_cell_length_a 7.811
_cell_length_b 8.075
_cell_length_c 13.639
_cell_angle_alpha 90.00
_cell_angle_beta 124.43
_cell_angle_gamma 90.00
loop_
_space_group_symop_operation_xyz
'x,y,z'
'-x,-y,-z'
'-x,y+1/2,-z+1/2'
'x,-y+1/2,z+1/2'
loop_
_atom_site_label
_atom_site_type_symbol
_atom_site_fract_x
_atom_site_fract_y
_atom_site_fract_z
Rb1 Rb 0.230 0.060 0.247
Mn1 Mn 0.000 0.000 0.500
Tl1 Tl 0.500 0.000 0.000
Br1 Br 0.147 0.233 0.965
Br2 Br 0.232 0.681 0.965
Br3 Br 0.292 0.009 0.725
```


Which is the most stable structure? #ii is the most stable.


#i
Mn3ReBr: optimized geometry, GGA-PBE.

```
data_Mn3ReBr
_chemical_formula_sum 'Mn3 Re1 Br1'
_space_group_name_H-M_alt 'P m -3 m'
_space_group_IT_number 221
_space_group_name_Hall '-P 4 2 3'
_cell_length_a 4.837
_cell_length_b 4.837
_cell_length_c 4.837
_cell_angle_alpha 90.00
_cell_angle_beta 90.00
_cell_angle_gamma 90.00
loop_
_atom_site_label
_atom_site_type_symbol
_atom_site_fract_x
_atom_site_fract_y
_atom_site_fract_z
Mn1 Mn 0.000 0.000 0.500
Re1 Re 0.000 0.000 0.000
Br1 Br 0.500 0.500 0.500
```


#ii
Mn3ReBr: optimized geometry, GGA-PBE.

```
data_Mn3ReBr
_chemical_formula_sum 'Mn3 Re1 Br1'
_space_group_name_H-M_alt 'P m -3 m'
_space_group_IT_number 221
_space_group_name_Hall '-P 4 2 3'
_cell_length_a 4.222
_cell_length_b 4.222
_cell_length_c 4.222
_cell_angle_alpha 90.00
_cell_angle_beta 90.00
_cell_angle_gamma 90.00
loop_
_atom_site_label
_atom_site_type_symbol
_atom_site_fract_x
_atom_site_fract_y
_atom_site_fract_z
Mn1 Mn 0.000 0.000 0.500
Re1 Re 0.500 0.500 0.500
Br1 Br 0.000 0.000 0.000
```


Which is the most stable structure? #i is the most stable.


#i
MnRe2Br: optimized geometry, GGA-PBE.

```
data_MnRe2Br
_chemical_formula_sum 'Mn3 Re6 Br3'
_space_group_name_H-M_alt 'R -3 m'
_space_group_IT_number 166
_space_group_name_Hall '-R 3 2"'
_cell_length_a 2.8762
_cell_length_b 2.8762
_cell_length_c 25.5315
_cell_angle_alpha 90.00
_cell_angle_beta 90.00
_cell_angle_gamma 120.00
loop_
_atom_site_label
_atom_site_type_symbol
_atom_site_fract_x
_atom_site_fract_y
_atom_site_fract_z
Mn1 Mn 0.0000 0.0000 0.0000
Re1 Re 0.0000 0.0000 0.2557
Br1 Br 0.0000 0.0000 0.5000
```


#ii
MnRe2Br: optimized geometry, GGA-PBE.

```
data_MnRe2Br
_chemical_formula_sum 'Mn2 Re4 Br2'
_space_group_name_H-M_alt 'C m m m'
_space_group_IT_number 65
_space_group_name_Hall '-C 2 2'
_cell_length_a 5.181
_cell_length_b 8.229
_cell_length_c 2.946
_cell_angle_alpha 90.00
_cell_angle_beta 90.00
_cell_angle_gamma 90.00
loop_
_atom_site_label
_atom_site_type_symbol
_atom_site_fract_x
_atom_site_fract_y
_atom_site_fract_z
Mn1 Mn 0.000 0.000 0.000
Re1 Re 0.250 0.250 0.500
Br1 Br 0.000 0.500 0.000
```


Which is the most stable structure? #i is the most stable.


#i
MnRe2Br: optimized geometry, GGA-PBE.

```
data_MnRe2Br
_chemical_formula_sum 'Mn1 Re2 Br1'
_space_group_name_H-M_alt 'P 1 m 1'
_space_group_IT_number 6
_cell_length_a 3.077
_cell_length_b 3.054
_cell_length_c 7.655
_cell_angle_alpha 90.00
_cell_angle_beta 90.23
_cell_angle_gamma 90.00
loop_
_space_group_symop_operation_xyz
'x,y,z'
'x,-y,z'
loop_
_atom_site_label
_atom_site_type_symbol
_atom_site_fract_x
_atom_site_fract_y
_atom_site_fract_z
Mn1 Mn 0.000 0.000 0.000
Re1 Re 0.497 0.500 0.771
Re2 Re 0.996 0.000 0.587
Br1 Br 0.990 0.500 0.291
```


#ii
MnRe2Br: optimized geometry, GGA-PBE.

```
data_MnRe2Br
_chemical_formula_sum 'Mn2 Re4 Br2'
_space_group_name_H-M_alt 'C m m m'
_space_group_IT_number 65
_space_group_name_Hall '-C 2 2'
_cell_length_a 3.044
_cell_length_b 4.306
_cell_length_c 12.349
_cell_angle_alpha 90.00
_cell_angle_beta 90.00
_cell_angle_gamma 90.00
loop_
_atom_site_label
_atom_site_type_symbol
_atom_site_fract_x
_atom_site_fract_y
_atom_site_fract_z
Mn1 Mn 0.000 0.000 0.000
Re1 Re 0.000 0.500 0.165
Br1 Br 0.000 0.000 0.500
```


Which is the most stable structure? #i is the most stable.


#i
MnRe2Br: optimized geometry, GGA-PBE.

```
data_MnRe2Br
_chemical_formula_sum 'Mn1 Re2 Br1'
_space_group_name_H-M_alt 'P 4 m m'
_space_group_IT_number 99
_cell_length_a 3.042
_cell_length_b 3.042
_cell_length_c 7.490
_cell_angle_alpha 90.00
_cell_angle_beta 90.00
_cell_angle_gamma 90.00
loop_
_space_group_symop_operation_xyz
'x,y,z'
'-y,x,z'
'-x,-y,z'
'y,-x,z'
'-x,y,z'
'y,x,z'
'x,-y,z'
'-y,-x,z'
loop_
_atom_site_label
_atom_site_type_symbol
_atom_site_fract_x
_atom_site_fract_y
_atom_site_fract_z
Mn1 Mn 0.000 0.000 0.000
Re1 Re 0.000 0.000 0.435
Re2 Re 0.500 0.500 0.246
Br1 Br 0.500 0.500 0.744
```


#ii
MnRe2Br: optimized geometry, GGA-PBE.

```
data_MnRe2Br
_chemical_formula_sum 'Mn2 Re4 Br2'
_space_group_name_H-M_alt 'I m m m'
_space_group_IT_number 71
_space_group_name_Hall '-I 2 2'
_cell_length_a 2.932
_cell_length_b 4.489
_cell_length_c 9.538
_cell_angle_alpha 90.00
_cell_angle_beta 90.00
_cell_angle_gamma 90.00
loop_
_atom_site_label
_atom_site_type_symbol
_atom_site_fract_x
_atom_site_fract_y
_atom_site_fract_z
Mn1 Mn 0.000 0.000 0.000
Re1 Re 0.000 0.500 0.235
Br1 Br 0.000 0.000 0.500
```


#iii
MnRe2Br: optimized geometry, GGA-PBE.

```
data_MnRe2Br
_chemical_formula_sum 'Mn2 Re4 Br2'
_space_group_name_H-M_alt 'I m m 2'
_space_group_IT_number 44
_cell_length_a 2.942
_cell_length_b 4.472
_cell_length_c 8.960
_cell_angle_alpha 90.00
_cell_angle_beta 90.00
_cell_angle_gamma 90.00
loop_
_space_group_symop_operation_xyz
'x,y,z'
'-x,-y,z'
'-x,y,z'
'x,-y,z'
'x+1/2,y+1/2,z+1/2'
'-x+1/2,-y+1/2,z+1/2'
'-x+1/2,y+1/2,z+1/2'
'x+1/2,-y+1/2,z+1/2'
loop_
_atom_site_label
_atom_site_type_symbol
_atom_site_fract_x
_atom_site_fract_y
_atom_site_fract_z
Mn1 Mn 0.000 0.000 0.000
Re1 Re 0.000 0.000 0.525
Re2 Re 0.000 0.500 0.767
Br1 Br 0.000 0.500 0.268
```


Which is the most stable structure? #i is the most stable.